Entry 1:
The following is a GGA-PBE calculation of crystalline Pr6NdTm2Sc at its relaxed geometry, from the Alexandria database.

## Properties
The calculation puts the uncorrected energy at -4.7469 eV per atom. The symmetry is C2/c, No. 15.

Unit cell a=8.9745 b=8.9745 c=9.4659 alpha=93.14 beta=93.14 gamma=116.47
Atoms (fractional coordinates):
Pr1 0.0130 0.4459 0.8069
Pr2 0.1167 0.7679 0.5534
Pr3 0.2321 0.8833 0.9466
Pr4 0.2939 0.5196 0.3883
Pr5 0.4459 0.0130 0.3069
Pr6 0.4804 0.7061 0.1117
Pr7 0.5196 0.2939 0.8883
Pr8 0.5541 0.9870 0.6931
Pr9 0.7061 0.4804 0.6117
Pr10 0.7679 0.1167 0.0534
Pr11 0.8833 0.2321 0.4466
Pr12 0.9870 0.5541 0.1931
Nd1 0.0298 0.9702 0.2500
Nd2 0.9702 0.0298 0.7500
Tm1 0.2073 0.3017 0.0523
Tm2 0.3017 0.2073 0.5523
Tm3 0.6983 0.7927 0.4477
Tm4 0.7927 0.6983 0.9477
Sc1 0.4207 0.5793 0.7500
Sc2 0.5793 0.4207 0.2500



Entry 2:
The following is a GGA-PBE calculation of crystalline LaAsWBr2 at its relaxed geometry, from the Alexandria database.

## Properties
The value obtained for the uncorrected formation energy is -0.2 eV per formula unit. The value obtained for the energy above the most stable polymorph in this dataset is 0 meV/atom. The symmetry is P4/mmm, No. 123.

Unit cell a=5.1131 b=5.1131 c=4.9405 alpha=90.00 beta=90.00 gamma=90.00
Atoms (fractional coordinates):
La1 0.0000 0.0000 0.0000
As1 0.5000 0.5000 0.0000
W1 0.5000 0.5000 0.5000
Br1 0.0000 0.5000 0.5000
Br2 0.5000 0.0000 0.5000



Entry 3:
The following is a GGA-PBE calculation of crystalline Ca3AcSi2 at its relaxed geometry, from the Alexandria database.

## Properties
The value obtained for the uncorrected formation energy is -2.5 eV per formula unit. The symmetry is Pmc2_1, No. 26.

Unit cell a=4.7942 b=9.2454 c=7.9454 alpha=90.00 beta=90.00 gamma=90.00
Atoms (fractional coordinates):
Ca1 0.0000 0.0841 0.0000
Ca2 0.0000 0.3105 0.3788
Ca3 0.0000 0.6895 0.8788
Ca4 0.0000 0.9159 0.5000
Ca5 0.5000 0.1694 0.6685
Ca6 0.5000 0.8306 0.1685
Ac1 0.5000 0.4270 0.0493
Ac2 0.5000 0.5730 0.5493
Si1 0.0000 0.3643 0.7643
Si2 0.0000 0.6357 0.2643
Si3 0.5000 0.1403 0.2790
Si4 0.5000 0.8597 0.7790



Entry 4:
The following is a GGA-PBE calculation of crystalline Mg2IrCl at its relaxed geometry, from the Alexandria database.

## Properties
The value obtained for the uncorrected formation energy is -0.3 eV per formula unit. The value obtained for the energy above the most stable polymorph in this dataset is 673 meV/atom. The symmetry is Fm-3m, No. 225.

Unit cell a=4.6657 b=4.6657 c=4.6657 alpha=60.00 beta=60.00 gamma=60.00
Atoms (fractional coordinates):
Mg1 0.2500 0.2500 0.2500
Mg2 0.7500 0.7500 0.7500
Ir1 0.0000 0.0000 0.0000
Cl1 0.5000 0.5000 0.5000



Entry 5:
The following is a GGA-PBE calculation of crystalline Nd5SmHo6 at its relaxed geometry, from the Alexandria database.

## Properties
The value obtained for the energy above the most stable polymorph in this dataset is 4 meV/atom. The symmetry is Immm, No. 71.

Unit cell a=9.5151 b=9.5151 c=9.5151 alpha=148.85 beta=115.91 gamma=72.97
Atoms (fractional coordinates):
Nd1 0.0000 0.0000 0.0000
Nd2 0.1666 0.6666 0.5000
Nd3 0.3338 0.3338 0.0000
Nd4 0.6662 0.6662 0.0000
Nd5 0.8334 0.3334 0.5000
Sm1 0.5000 0.0000 0.5000
Ho1 0.0838 0.8334 0.2503
Ho2 0.2505 0.5000 0.7505
Ho3 0.4169 0.1666 0.2503
Ho4 0.5831 0.8334 0.7497
Ho5 0.7495 0.5000 0.2495
Ho6 0.9162 0.1666 0.7497



Entry 6:
The following is a GGA-PBE calculation of crystalline SnBiRh at its relaxed geometry, from the Alexandria database.

## Properties
The calculation puts the uncorrected energy at -5.2825 eV per atom. The symmetry is P2_1/m, No. 11.

Unit cell a=3.3542 b=4.3997 c=9.6028 alpha=90.00 beta=99.84 gamma=90.00
Atoms (fractional coordinates):
Sn1 0.0634 0.2500 0.1304
Sn2 0.9366 0.7500 0.8696
Bi1 0.1847 0.7500 0.3786
Bi2 0.8153 0.2500 0.6214
Rh1 0.4468 0.2500 0.8890
Rh2 0.5532 0.7500 0.1110